DFT (PBE) results for an optimized crystal structure of Sm2Th3.

Lattice parameters (Å, degrees): 3.5950 3.5950 14.7769 83.01 83.01 60.00
Positions (direct):
Sm 0.6001 0.6001 0.1998
Sm 0.3999 0.3999 0.8002
Th 0.8011 0.8011 0.5966
Th 0.0000 0.0000 0.0000
Th 0.1989 0.1989 0.4034

Formation energy in kJ/mol of atoms: 4
E above lowest polymorph in meV/atom: 20.6
Space group: No. 166